A geometry-optimized CaSb2Cl structure. Source: the Alexandria database, functional PBE.

Values from the calculation:
ΔE_f (raw): -340 kJ/mol of formula units
calculated volume: 436.3 Å³ per cell
calculated density: 3.643 g cm⁻³
energy relative to the lowest polymorph listed for this composition: 90 meV/atom

The structure in CIF format:
```
data_CaSb2Cl
_symmetry_space_group_name_H-M 'R 3 m'
_symmetry_Int_Tables_number 160
_symmetry_space_group_name_Hall 'R 3 -2"'
_cell_length_a 4.4375
_cell_length_b 4.4375
_cell_length_c 25.5828
_cell_angle_alpha 90.00
_cell_angle_beta 90.00
_cell_angle_gamma 120.00
loop_
_atom_site_label
_atom_site_fract_x
_atom_site_fract_y
_atom_site_fract_z
Ca1 0.0000 0.0000 0.0000
Sb1 0.0000 0.0000 0.2495
Sb2 0.0000 0.0000 0.5289
Cl1 0.0000 0.0000 0.7114
```

A geometry-optimized HfPaPd2O8 structure. Source: the Alexandria database, functional PBE.

Values from the calculation:
ΔE_f (raw): -2066 kJ/mol of formula units
calculated volume: 327.4 Å³ per cell
calculated density: 7.612 g cm⁻³

The structure in CIF format:
```
data_HfPaPd2O8
_symmetry_space_group_name_H-M 'I -4 m 2'
_symmetry_Int_Tables_number 119
_symmetry_space_group_name_Hall 'I -4 -2'
_cell_length_a 6.8764
_cell_length_b 6.8764
_cell_length_c 6.9239
_cell_angle_alpha 90.00
_cell_angle_beta 90.00
_cell_angle_gamma 90.00
loop_
_atom_site_label
_atom_site_fract_x
_atom_site_fract_y
_atom_site_fract_z
Hf1 0.0000 0.0000 0.0000
Pa1 0.0000 0.5000 0.2500
Pd1 0.0000 0.0000 0.5000
Pd2 0.0000 0.5000 0.7500
O1 0.0000 0.1745 0.2701
O2 0.0000 0.3136 0.9683
```

A geometry-optimized Ba2CuSiOs structure. Source: the Alexandria database, functional PBE.

Values from the calculation:
ΔE_f (raw): 382 kJ/mol of formula units
calculated volume: 156.4 Å³ per cell
calculated density: 5.909 g cm⁻³

The structure in CIF format:
```
data_Ba2CuSiOs
_symmetry_space_group_name_H-M 'P 4/m m m'
_symmetry_Int_Tables_number 123
_symmetry_space_group_name_Hall '-P 4 2'
_cell_length_a 6.0263
_cell_length_b 6.0263
_cell_length_c 4.3062
_cell_angle_alpha 90.00
_cell_angle_beta 90.00
_cell_angle_gamma 90.00
loop_
_atom_site_label
_atom_site_fract_x
_atom_site_fract_y
_atom_site_fract_z
Ba1 0.0000 0.5000 0.0000
Cu1 0.0000 0.0000 0.0000
Si1 0.0000 0.0000 0.5000
Os1 0.5000 0.5000 0.5000
```

A geometry-optimized CsRb2MoI6 structure. Source: the Alexandria database, functional PBE.

Values from the calculation:
ΔE_f (raw): -860 kJ/mol of formula units
calculated volume: 2088.3 Å³ per cell
calculated density: 3.693 g cm⁻³

The structure in CIF format:
```
data_CsRb2MoI6
_symmetry_space_group_name_H-M 'F m -3 m'
_symmetry_Int_Tables_number 225
_symmetry_space_group_name_Hall '-F 4 2 3'
_cell_length_a 12.7820
_cell_length_b 12.7820
_cell_length_c 12.7820
_cell_angle_alpha 90.00
_cell_angle_beta 90.00
_cell_angle_gamma 90.00
loop_
_atom_site_label
_atom_site_fract_x
_atom_site_fract_y
_atom_site_fract_z
Cs1 0.0000 0.0000 0.0000
Rb1 0.2500 0.2500 0.2500
Mo1 0.0000 0.0000 0.5000
I1 0.0000 0.0000 0.2802
```

A geometry-optimized LiCu3Au12 structure. Source: the Alexandria database, functional PBE.

Values from the calculation:
calculated formation energy: -99 meV/atom
calculated volume: 268.1 Å³ per cell
calculated density: 15.861 g cm⁻³

The structure in CIF format:
```
data_LiCu3Au12
_symmetry_space_group_name_H-M 'P 4/m m m'
_symmetry_Int_Tables_number 123
_symmetry_space_group_name_Hall '-P 4 2'
_cell_length_a 4.0303
_cell_length_b 4.0303
_cell_length_c 16.5070
_cell_angle_alpha 90.00
_cell_angle_beta 90.00
_cell_angle_gamma 90.00
loop_
_atom_site_label
_atom_site_fract_x
_atom_site_fract_y
_atom_site_fract_z
Li1 0.0000 0.0000 0.0000
Cu1 0.0000 0.0000 0.2512
Cu2 0.0000 0.0000 0.5000
Au1 0.0000 0.5000 0.1259
Au2 0.0000 0.5000 0.3754
Au3 0.5000 0.5000 0.0000
Au4 0.5000 0.5000 0.2507
Au5 0.5000 0.5000 0.5000
```

A geometry-optimized LiAgO2 structure. Source: the Alexandria database, functional PBE.

Values from the calculation:
ΔE_f (raw): -224 kJ/mol of formula units
calculated volume: 182.8 Å³ per cell
calculated density: 5.334 g cm⁻³

The structure in CIF format:
```
data_LiAgO2
_symmetry_space_group_name_H-M 'C 1 2/c 1'
_symmetry_Int_Tables_number 15
_cell_length_a 3.3140
_cell_length_b 5.7468
_cell_length_c 9.5991
_cell_angle_alpha 90.00
_cell_angle_beta 90.29
_cell_angle_gamma 90.00
loop_
_symmetry_equiv_pos_as_xyz
'x,y,z'
'-x,-y,-z'
'-x,y,-z+1/2'
'x,-y,z+1/2'
'x+1/2,y+1/2,z'
'-x+1/2,-y+1/2,-z'
'-x+1/2,y+1/2,-z+1/2'
'x+1/2,-y+1/2,z+1/2'
loop_
_atom_site_label
_atom_site_fract_x
_atom_site_fract_y
_atom_site_fract_z
Li1 0.0000 0.1668 0.2500
Ag1 0.0000 0.5000 0.0000
O1 0.0005 0.1661 0.8326
```

A geometry-optimized Cs2KAu structure. Source: the Alexandria database, functional PBE.

Values from the calculation:
calculated formation energy: -135 meV/atom
calculated volume: 1140.2 Å³ per cell
calculated density: 2.924 g cm⁻³
energy relative to the lowest polymorph listed for this composition: 36 meV/atom

The structure in CIF format:
```
data_Cs2KAu
_symmetry_space_group_name_H-M 'I -4 2 d'
_symmetry_Int_Tables_number 122
_symmetry_space_group_name_Hall 'I -4 2bw'
_cell_length_a 12.9717
_cell_length_b 12.9717
_cell_length_c 6.7760
_cell_angle_alpha 90.00
_cell_angle_beta 90.00
_cell_angle_gamma 90.00
loop_
_atom_site_label
_atom_site_fract_x
_atom_site_fract_y
_atom_site_fract_z
Cs1 0.1070 0.2500 0.1250
K1 0.0000 0.0000 0.5000
Au1 0.0000 0.0000 0.0000
```

A geometry-optimized BaLiLa2 structure. Source: the Alexandria database, functional PBE.

Values from the calculation:
calculated formation energy: 299 meV/atom
calculated volume: 151.9 Å³ per cell
calculated density: 4.614 g cm⁻³
energy relative to the lowest polymorph listed for this composition: 207 meV/atom

The structure in CIF format:
```
data_BaLiLa2
_symmetry_space_group_name_H-M 'P 4/m m m'
_symmetry_Int_Tables_number 123
_symmetry_space_group_name_Hall '-P 4 2'
_cell_length_a 5.9782
_cell_length_b 5.9782
_cell_length_c 4.2506
_cell_angle_alpha 90.00
_cell_angle_beta 90.00
_cell_angle_gamma 90.00
loop_
_atom_site_label
_atom_site_fract_x
_atom_site_fract_y
_atom_site_fract_z
Ba1 0.0000 0.0000 0.0000
Li1 0.5000 0.5000 0.0000
La1 0.0000 0.5000 0.5000
```

A geometry-optimized Ac2Tm3Pt2 structure. Source: the Alexandria database, functional PBE.

Values from the calculation:
calculated formation energy: -775 meV/atom
calculated volume: 406.3 Å³ per cell
calculated density: 11.044 g cm⁻³

The structure in CIF format:
```
data_Ac2Tm3Pt2
_symmetry_space_group_name_H-M 'C 1 2/m 1'
_symmetry_Int_Tables_number 12
_cell_length_a 12.8034
_cell_length_b 3.8985
_cell_length_c 9.2599
_cell_angle_alpha 90.00
_cell_angle_beta 118.48
_cell_angle_gamma 90.00
loop_
_symmetry_equiv_pos_as_xyz
'x,y,z'
'-x,-y,-z'
'-x,y,-z'
'x,-y,z'
'x+1/2,y+1/2,z'
'-x+1/2,-y+1/2,-z'
'-x+1/2,y+1/2,-z'
'x+1/2,-y+1/2,z'
loop_
_atom_site_label
_atom_site_fract_x
_atom_site_fract_y
_atom_site_fract_z
Ac1 0.1565 0.0000 0.3030
Tm1 0.0000 0.5000 0.5000
Tm2 0.1223 0.5000 0.9341
Pt1 0.1610 0.0000 0.7440
```

A geometry-optimized Sr4PmPa3As8 structure. Source: the Alexandria database, functional PBE.

Values from the calculation:
calculated formation energy: -1207 meV/atom
calculated volume: 1352.3 Å³ per cell
calculated density: 6.586 g cm⁻³

The structure in CIF format:
```
data_Sr4PmPa3As8
_symmetry_space_group_name_H-M 'R -3 m'
_symmetry_Int_Tables_number 166
_symmetry_space_group_name_Hall '-R 3 2"'
_cell_length_a 8.5457
_cell_length_b 8.5457
_cell_length_c 21.3830
_cell_angle_alpha 90.00
_cell_angle_beta 90.00
_cell_angle_gamma 120.00
loop_
_atom_site_label
_atom_site_fract_x
_atom_site_fract_y
_atom_site_fract_z
Sr1 0.0000 0.0000 0.0000
Sr2 0.0000 0.5000 0.0000
Pm1 0.0000 0.0000 0.5000
Pa1 0.0000 0.5000 0.5000
As1 0.0000 0.0000 0.2392
As2 0.0105 0.5053 0.7601
```

A geometry-optimized In2SnPb structure. Source: the Alexandria database, functional PBE.

Values from the calculation:
calculated formation energy: 115 meV/atom
calculated volume: 244.4 Å³ per cell
calculated density: 7.549 g cm⁻³
energy relative to the lowest polymorph listed for this composition: 92 meV/atom

The structure in CIF format:
```
data_In2SnPb
_symmetry_space_group_name_H-M 'I m m m'
_symmetry_Int_Tables_number 71
_symmetry_space_group_name_Hall '-I 2 2'
_cell_length_a 4.4088
_cell_length_b 4.4193
_cell_length_c 12.5435
_cell_angle_alpha 90.00
_cell_angle_beta 90.00
_cell_angle_gamma 90.00
loop_
_atom_site_label
_atom_site_fract_x
_atom_site_fract_y
_atom_site_fract_z
In1 0.0000 0.0000 0.2387
Sn1 0.0000 0.0000 0.0000
Pb1 0.0000 0.0000 0.5000
```

A geometry-optimized Rb8Au2O structure. Source: the Alexandria database, functional PBE.

Values from the calculation:
ΔE_f (raw): -399 kJ/mol of formula units
calculated volume: 1213.2 Å³ per cell
calculated density: 2.994 g cm⁻³
energy relative to the lowest polymorph listed for this composition: 0 meV/atom

The structure in CIF format:
```
data_Rb8Au2O
_symmetry_space_group_name_H-M 'C 1 2/m 1'
_symmetry_Int_Tables_number 12
_cell_length_a 15.9012
_cell_length_b 8.4759
_cell_length_c 9.0027
_cell_angle_alpha 90.00
_cell_angle_beta 90.88
_cell_angle_gamma 90.00
loop_
_symmetry_equiv_pos_as_xyz
'x,y,z'
'-x,-y,-z'
'-x,y,-z'
'x,-y,z'
'x+1/2,y+1/2,z'
'-x+1/2,-y+1/2,-z'
'-x+1/2,y+1/2,-z'
'x+1/2,-y+1/2,z'
loop_
_atom_site_label
_atom_site_fract_x
_atom_site_fract_y
_atom_site_fract_z
Rb1 0.0356 0.2239 0.2851
Rb2 0.1681 0.0000 0.6034
Rb3 0.1971 0.5000 0.9174
Au1 0.0908 0.0000 0.9717
O1 0.0000 0.0000 0.5000
```

A geometry-optimized Dy8Sn2Pt structure. Source: the Alexandria database, functional PBE.

Values from the calculation:
calculated formation energy: -519 meV/atom
calculated volume: 622.2 Å³ per cell
calculated density: 9.248 g cm⁻³

The structure in CIF format:
```
data_Dy8Sn2Pt
_symmetry_space_group_name_H-M 'C 1 2/m 1'
_symmetry_Int_Tables_number 12
_cell_length_a 19.3131
_cell_length_b 4.9634
_cell_length_c 6.7015
_cell_angle_alpha 90.00
_cell_angle_beta 104.42
_cell_angle_gamma 90.00
loop_
_symmetry_equiv_pos_as_xyz
'x,y,z'
'-x,-y,-z'
'-x,y,-z'
'x,-y,z'
'x+1/2,y+1/2,z'
'-x+1/2,-y+1/2,-z'
'-x+1/2,y+1/2,-z'
'x+1/2,-y+1/2,z'
loop_
_atom_site_label
_atom_site_fract_x
_atom_site_fract_y
_atom_site_fract_z
Dy1 0.0198 0.0000 0.2821
Dy2 0.0915 0.5000 0.9651
Dy3 0.1475 0.5000 0.5027
Dy4 0.2184 0.0000 0.8235
Sn1 0.1821 0.0000 0.2599
Pt1 0.0000 0.5000 0.5000
```

A geometry-optimized Y2Zn3GaPt4 structure. Source: the Alexandria database, functional PBE.

Values from the calculation:
calculated formation energy: -802 meV/atom
calculated volume: 186.3 Å³ per cell
calculated density: 10.913 g cm⁻³

The structure in CIF format:
```
data_Y2Zn3GaPt4
_symmetry_space_group_name_H-M 'P -4 m 2'
_symmetry_Int_Tables_number 115
_cell_length_a 4.1725
_cell_length_b 4.1725
_cell_length_c 10.6989
_cell_angle_alpha 90.00
_cell_angle_beta 90.00
_cell_angle_gamma 90.00
loop_
_symmetry_equiv_pos_as_xyz
'x,y,z'
'y,-x,-z'
'-x,-y,z'
'-y,x,-z'
'-x,y,z'
'-y,-x,-z'
'x,-y,z'
'y,x,-z'
loop_
_atom_site_label
_atom_site_fract_x
_atom_site_fract_y
_atom_site_fract_z
Y1 0.0000 0.5000 0.2402
Zn1 0.0000 0.5000 0.8659
Zn2 0.5000 0.5000 0.5000
Ga1 0.0000 0.0000 0.5000
Pt1 0.0000 0.0000 0.0000
Pt2 0.0000 0.5000 0.6373
Pt3 0.5000 0.5000 0.0000
```

A geometry-optimized HfScGe3 structure. Source: the Alexandria database, functional PBE.

Values from the calculation:
calculated formation energy: 296 meV/atom
calculated volume: 129.7 Å³ per cell
calculated density: 5.652 g cm⁻³

The structure in CIF format:
```
data_HfScGe3
_symmetry_space_group_name_H-M 'P m -3 m'
_symmetry_Int_Tables_number 221
_symmetry_space_group_name_Hall '-P 4 2 3'
_cell_length_a 5.0615
_cell_length_b 5.0615
_cell_length_c 5.0615
_cell_angle_alpha 90.00
_cell_angle_beta 90.00
_cell_angle_gamma 90.00
loop_
_atom_site_label
_atom_site_fract_x
_atom_site_fract_y
_atom_site_fract_z
Hf1 0.0000 0.0000 0.0000
Sc1 0.5000 0.5000 0.5000
Ge1 0.0000 0.0000 0.5000
```

A geometry-optimized CuAsPbO4 structure. Source: the Alexandria database, functional PBE.

Values from the calculation:
ΔE_f (raw): -746 kJ/mol of formula units
calculated volume: 228.8 Å³ per cell
calculated density: 5.946 g cm⁻³
energy relative to the lowest polymorph listed for this composition: 0 meV/atom

The structure in CIF format:
```
data_CuAsPbO4
_symmetry_space_group_name_H-M 'P -1'
_symmetry_Int_Tables_number 2
_cell_length_a 4.9484
_cell_length_b 5.9478
_cell_length_c 8.2013
_cell_angle_alpha 78.12
_cell_angle_beta 75.94
_cell_angle_gamma 84.22
loop_
_symmetry_equiv_pos_as_xyz
'x,y,z'
'-x,-y,-z'
loop_
_atom_site_label
_atom_site_fract_x
_atom_site_fract_y
_atom_site_fract_z
Cu1 0.1160 0.1926 0.0083
As1 0.0735 0.8028 0.3131
Pb1 0.4418 0.7088 0.6726
O1 0.0051 0.6344 0.1784
O2 0.2307 0.0933 0.5651
O3 0.2571 0.0411 0.1935
O4 0.2753 0.6291 0.4366
```

A geometry-optimized TbPrDy2Se4 structure. Source: the Alexandria database, functional PBE.

Values from the calculation:
ΔE_f (raw): -1369 kJ/mol of formula units
calculated volume: 199.2 Å³ per cell
calculated density: 7.843 g cm⁻³

The structure in CIF format:
```
data_TbPrDy2Se4
_symmetry_space_group_name_H-M 'P 1 2/m 1'
_symmetry_Int_Tables_number 10
_cell_length_a 7.1726
_cell_length_b 4.0649
_cell_length_c 7.2103
_cell_angle_alpha 90.00
_cell_angle_beta 108.68
_cell_angle_gamma 90.00
loop_
_symmetry_equiv_pos_as_xyz
'x,y,z'
'-x,-y,-z'
'-x,y,-z'
'x,-y,z'
loop_
_atom_site_label
_atom_site_fract_x
_atom_site_fract_y
_atom_site_fract_z
Tb1 0.0000 0.0000 0.0000
Pr1 0.5000 0.5000 0.0000
Dy1 0.0000 0.5000 0.5000
Dy2 0.5000 0.0000 0.5000
Se1 0.2393 0.0000 0.7379
Se2 0.2459 0.5000 0.2570
```

A geometry-optimized LaCe2NpAs4 structure. Source: the Alexandria database, functional PBE.

Values from the calculation:
calculated formation energy: -1258 meV/atom
calculated volume: 214.4 Å³ per cell
calculated density: 7.402 g cm⁻³

The structure in CIF format:
```
data_LaCe2NpAs4
_symmetry_space_group_name_H-M 'P 1 2/m 1'
_symmetry_Int_Tables_number 10
_cell_length_a 7.3182
_cell_length_b 4.2296
_cell_length_c 7.3471
_cell_angle_alpha 90.00
_cell_angle_beta 109.46
_cell_angle_gamma 90.00
loop_
_symmetry_equiv_pos_as_xyz
'x,y,z'
'-x,-y,-z'
'-x,y,-z'
'x,-y,z'
loop_
_atom_site_label
_atom_site_fract_x
_atom_site_fract_y
_atom_site_fract_z
La1 0.0000 0.0000 0.0000
Ce1 0.5000 0.0000 0.5000
Ce2 0.5000 0.5000 0.0000
Np1 0.0000 0.5000 0.5000
As1 0.2483 0.0000 0.7417
As2 0.2551 0.5000 0.2598
```

| no. | final energy (eV/atom) |
| --- | --- |
| 1 | -3.904 |
| 2 | -7.576 |
| 3 | -4.128 |
| 4 | -3.184 |
| 5 | -3.445 |
| 6 | -4.251 |
| 7 | -1.656 |
| 8 | -3.124 |
| 9 | -5.591 |
| 10 | -6.030 |
| 11 | -3.182 |
| 12 | -2.126 |
| 13 | -5.143 |
| 14 | -5.196 |
| 15 | -5.732 |
| 16 | -5.717 |
| 17 | -5.843 |
| 18 | -7.300 |